## Pm4NpU3N8 (GGA-PBE)

Data for a geometry-optimized Pm4NpU3N8 structure.

Structure (POSCAR):
```
Pm4NpU3N8
1.0
-5.9797 2.5193 2.6426
1.7762 -2.4689 6.3729
4.3857 4.2580 -3.4231
Np Pm N U
1 4 8 3
direct
0.0000 0.5000 0.0000
0.5000 0.0000 0.0000
0.0000 0.0000 0.5000
0.5000 0.0000 0.5000
0.0000 0.0000 0.0000
0.2618 0.2855 0.5237
0.2425 0.7165 0.4850
0.7575 0.2835 0.5150
0.2425 0.7165 0.9740
0.7382 0.7145 0.4763
0.7315 0.7165 0.9740
0.2685 0.2835 0.0260
0.7575 0.2835 0.0260
0.5000 0.5000 0.0000
0.0000 0.5000 0.5000
0.5000 0.5000 0.5000
```

Summary:
* E_form (uncorrected): -134 kJ/mol of atoms